{
  "formula": "CrBiP2O8",
  "functional": "PBE+U",
  "state": "optimized geometry",
  "magnetic_moment_mub_per_atom": 0.248,
  "final_energy_ev_per_atom": -7.13,
  "spacegroup": "P-3m1",
  "cell": [[5.139, 0.000, 0.000], [-2.570, 4.451, 0.000], [0.000, 0.000, 6.686]],
  "species": ["Cr", "Bi", "P", "P", "O", "O", "O", "O", "O", "O", "O", "O"],
  "fractional_positions": [[0.000, 0.000, 0.000], [0.000, 0.000, 0.500], [0.333, 0.667, 0.730], [0.667, 0.333, 0.270], [0.168, 0.336, 0.803], [0.168, 0.832, 0.803], [0.333, 0.667, 0.500], [0.336, 0.168, 0.197], [0.664, 0.832, 0.803], [0.667, 0.333, 0.500], [0.832, 0.168, 0.197], [0.832, 0.664, 0.197]]
}